No. 1
A plane-wave DFT calculation with PBE-GGA was carried out for crystalline NpUGa2 at its relaxed geometry.

Output
energy above the most stable polymorph in this dataset = 0.0395 eV per atom
formation energy from the elements = -8.05 kJ per mole of atoms
volume = 72.87 Å³/cell

Unit cell a=4.919 b=3.849 c=3.849 alpha=90.00 beta=90.00 gamma=90.00
Site moments in Bohr magnetons follow the coordinates.
Positions (direct):
Np 0.500 0.000 0.000  2.41
U 0.500 0.500 0.500  0.91
Ga 0.000 0.000 0.500  -0.05
Ga 0.000 0.500 0.000  -0.05

***

No. 2
A plane-wave DFT calculation with PBE-GGA was carried out for crystalline AgSbS2I at its relaxed geometry.

Output
uncorrected formation energy = -0.093 eV/atom
volume = 315.83 Å³/cell

Unit cell a=4.316 b=7.431 c=10.509 alpha=69.58 beta=90.00 gamma=90.00
Positions (direct):
Ag 0.250 0.355 0.159
Ag 0.750 0.645 0.841
Sb 0.250 0.384 0.671
Sb 0.750 0.616 0.329
S 0.750 0.618 0.600
S 0.250 0.382 0.400
S 0.750 0.528 0.113
S 0.250 0.472 0.887
I 0.250 0.941 0.201
I 0.750 0.059 0.799

***

No. 3
A plane-wave DFT calculation with PBE-GGA was carried out for crystalline OsBr2Cl at its relaxed geometry.

Output
energy above the most stable polymorph in this dataset = 0.3616 eV per atom
uncorrected formation energy = 0.367 eV/atom
volume = 103.30 Å³/cell

Unit cell a=7.367 b=7.367 c=7.367 alpha=155.77 beta=140.85 gamma=46.58
Positions (direct):
Os 0.253 0.753 0.500
Br 0.103 0.103 0.000
Br 0.753 0.253 0.500
Cl 0.391 0.391 0.000

***

No. 4
A plane-wave DFT calculation with PBE-GGA was carried out for crystalline Ac2HgRhN at its relaxed geometry.

Output
uncorrected formation energy = -0.647 eV/atom
volume = 251.30 Å³/cell

Unit cell a=4.103 b=7.331 c=9.101 alpha=113.35 beta=90.00 gamma=90.00
Positions (direct):
Ac 0.750 0.773 0.620
Ac 0.750 0.783 0.018
Ac 0.250 0.227 0.380
Ac 0.250 0.217 0.982
Hg 0.250 0.731 0.301
Hg 0.750 0.269 0.699
Rh 0.250 0.535 0.748
Rh 0.750 0.465 0.252
N 0.250 0.850 0.830
N 0.750 0.150 0.170

***

No. 5
A plane-wave DFT calculation with PBE-GGA was carried out for crystalline Tb5NdTm6 at its relaxed geometry.

Output
energy above the most stable polymorph in this dataset = 0.0861 eV per atom
formation energy from the elements = 10.25 kJ per mole of atoms
volume = 378.61 Å³/cell

Unit cell a=10.039 b=10.039 c=5.732 alpha=106.59 beta=106.59 gamma=124.19
Positions (direct):
Nd 0.000 0.000 0.000
Tm 0.431 0.069 0.250
Tm 0.931 0.569 0.750
Tm 0.251 0.251 0.750
Tm 0.749 0.749 0.250
Tm 0.069 0.431 0.250
Tm 0.569 0.931 0.750
Tb 0.846 0.154 0.500
Tb 0.653 0.347 0.000
Tb 0.500 0.500 0.500
Tb 0.347 0.653 0.000
Tb 0.154 0.846 0.500

***

No. 6
A plane-wave DFT calculation with PBE-GGA was carried out for crystalline CrIrOs2 at its relaxed geometry.

Output
energy above the most stable polymorph in this dataset = 0.0565 eV per atom
formation energy from the elements = 3.33 kJ per mole of atoms
volume = 55.37 Å³/cell

Unit cell a=2.706 b=2.706 c=7.564 alpha=90.00 beta=90.00 gamma=90.00
Site moments in Bohr magnetons follow the coordinates.
Positions (direct):
Cr 0.000 0.000 0.504  0.20
Ir 0.500 0.500 0.737  -0.02
Os 0.000 0.000 0.005  0.02
Os 0.500 0.500 0.254  -0.02

***

No. 7
A plane-wave DFT calculation with PBE-GGA was carried out for crystalline Ca2InPdN at its relaxed geometry.

Output
uncorrected formation energy = -0.462 eV/atom
volume = 101.83 Å³/cell

Unit cell a=4.917 b=4.917 c=4.213 alpha=90.00 beta=90.00 gamma=90.00
Positions (direct):
Ca 0.000 0.500 0.000
Ca 0.500 0.000 0.000
N 0.000 0.000 0.000
Pd 0.000 0.000 0.500
In 0.500 0.500 0.500

***

No. 8
A plane-wave DFT calculation with PBE-GGA was carried out for crystalline CaAcTbSm at its relaxed geometry.

Output
formation energy from the elements = 11.39 kJ per mole of atoms
volume = 150.49 Å³/cell

Unit cell a=5.970 b=5.970 c=5.970 alpha=60.00 beta=60.00 gamma=60.00
Positions (direct):
Ac 0.000 0.000 0.000
Tb 0.750 0.750 0.750
Ca 0.250 0.250 0.250
Sm 0.500 0.500 0.500